1.
## Tb2AlCo2Ni5 (PBE-GGA)

Data for a geometry-optimized Tb2AlCo2Ni5 structure.

Cell: 8.7895 8.7895 3.7235 Å, 90.00 90.00 90.00°
Space group P4/mbm (No. 127)
One atom of each set of equivalent atoms:
1 Tb 0.1754 0.3246 0.0000 [4 per cell]
2 Al 0.0000 0.0000 0.0000 [2 per cell]
3 Co 0.1238 0.6238 0.0000 [4 per cell]
4 Ni 0.0000 0.5000 0.5000 [2 per cell]
5 Ni 0.0624 0.7958 0.5000 [8 per cell]

Results
Spin magnetization ... 2.24 μB/f.u.
Calculated total energy ... -5.850 eV per atom
ΔE_f ... -23 kJ per mole of atoms

2.
## Th2AlCo3Ni12 (PBE-GGA)

Data for a geometry-optimized Th2AlCo3Ni12 structure.

Cell: 8.2802 8.2802 12.1440 Å, 90.00 90.00 120.00°
Space group R-3m (No. 166, hexagonal axes)
One atom of each set of equivalent atoms:
1 Th 0.0000 0.0000 0.2298 [6 per cell]
2 Al 0.0000 0.0000 0.5000 [3 per cell]
3 Co 0.0000 0.5000 0.0000 [9 per cell]
4 Ni 0.0201 0.5100 0.2096 [18 per cell]
5 Ni 0.0467 0.5233 0.6023 [18 per cell]

Results
Spin magnetization ... 5.56 μB/f.u.
Calculated total energy ... -6.131 eV per atom
ΔE_f ... -6 kJ per mole of atoms

3.
## ThAlCoNi (PBE-GGA)

Data for a geometry-optimized ThAlCoNi structure.

Cell: 4.1902 4.1902 13.7544 Å, 90.00 90.00 120.00°
Space group R3m (No. 160, hexagonal axes)
One atom of each set of equivalent atoms:
1 Th 0.0000 0.0000 0.0000 [3 per cell]
2 Al 0.0000 0.0000 0.5045 [3 per cell]
3 Co 0.0000 0.0000 0.2056 [3 per cell]
4 Ni 0.0000 0.0000 0.7960 [3 per cell]

Results
Spin magnetization ... 0.00 μB/f.u.
Calculated total energy ... -6.522 eV per atom
ΔE_f ... -49 kJ per mole of atoms

4.
## TiAl2CoNi (PBE-GGA)

Data for a geometry-optimized TiAl2CoNi structure.

Cell: 4.8670 4.8670 4.0291 Å, 90.00 90.00 90.00°
Space group P4/mmm (No. 123)
One atom of each set of equivalent atoms:
1 Ti 0.0000 0.0000 0.0000 [1 per cell]
2 Al 0.0000 0.5000 0.0000 [2 per cell]
3 Co 0.0000 0.0000 0.5000 [1 per cell]
4 Ni 0.5000 0.5000 0.5000 [1 per cell]

Results
Spin magnetization ... 0.08 μB/f.u.
Calculated total energy ... -4.511 eV per atom
ΔE_f ... 110 kJ per mole of atoms

5.
## Ti2Al5CoNi2 (PBE-GGA)

Data for a geometry-optimized Ti2Al5CoNi2 structure.

Cell: 9.7756 9.7756 2.9616 Å, 90.00 90.00 90.00°
Space group P4/mbm (No. 127)
One atom of each set of equivalent atoms:
1 Ti 0.1831 0.3169 0.0000 [4 per cell]
2 Al 0.0000 0.5000 0.5000 [2 per cell]
3 Al 0.0451 0.8033 0.5000 [8 per cell]
4 Co 0.0000 0.0000 0.0000 [2 per cell]
5 Ni 0.1338 0.6338 0.0000 [4 per cell]

Results
Spin magnetization ... 0.27 μB/f.u.
Calculated total energy ... -5.762 eV per atom
ΔE_f ... -43 kJ per mole of atoms

6.
## Tm2AlCo2Ni5 (PBE-GGA)

Data for a geometry-optimized Tm2AlCo2Ni5 structure.

Cell: 8.6944 8.6944 3.7091 Å, 90.00 90.00 90.00°
Space group P4/mbm (No. 127)
One atom of each set of equivalent atoms:
1 Tm 0.1734 0.3266 0.0000 [4 per cell]
2 Al 0.0000 0.0000 0.0000 [2 per cell]
3 Co 0.1256 0.6256 0.0000 [4 per cell]
4 Ni 0.0000 0.5000 0.5000 [2 per cell]
5 Ni 0.0639 0.7958 0.5000 [8 per cell]

Results
Spin magnetization ... 2.30 μB/f.u.
Calculated total energy ... -5.865 eV per atom
ΔE_f ... -27 kJ per mole of atoms

7.
## YAl3CoNi (PBE-GGA)

Data for a geometry-optimized YAl3CoNi structure.

Cell: 7.6467 10.3530 5.3827 Å, 90.00 90.00 90.00°
Space group Cmcm (No. 63)
One atom of each set of equivalent atoms:
1 Y 0.0000 0.2015 0.2500 [4 per cell]
2 Al 0.0000 0.3177 0.7500 [4 per cell]
3 Al 0.2433 0.0000 0.0000 [8 per cell]
4 Co 0.0000 0.0836 0.7500 [4 per cell]
5 Ni 0.0000 0.4571 0.2500 [4 per cell]

Results
Spin magnetization ... 0.00 μB/f.u.
Calculated total energy ... -5.382 eV per atom
ΔE_f ... -28 kJ per mole of atoms

8.
## Y2AlCo3Ni12 (PBE-GGA)

Data for a geometry-optimized Y2AlCo3Ni12 structure.

Cell: 8.2612 8.2612 11.9999 Å, 90.00 90.00 120.00°
Space group R-3m (No. 166, hexagonal axes)
One atom of each set of equivalent atoms:
1 Y 0.0000 0.0000 0.2252 [6 per cell]
2 Al 0.0000 0.0000 0.5000 [3 per cell]
3 Co 0.0000 0.5000 0.0000 [9 per cell]
4 Ni 0.0190 0.5095 0.2084 [18 per cell]
5 Ni 0.0445 0.5222 0.6026 [18 per cell]

Results
Spin magnetization ... 8.19 μB/f.u.
Calculated total energy ... -5.959 eV per atom
ΔE_f ... 1 kJ per mole of atoms

9.
## AlZnCoNi (PBE-GGA)

Data for a geometry-optimized AlZnCoNi structure.

Cell: 2.8791 2.8791 5.7443 Å, 90.00 90.00 90.00°
Space group P4mm (No. 99)
One atom of each set of equivalent atoms:
1 Al 0.0000 0.0000 0.0000 [1 per cell]
2 Zn 0.0000 0.0000 0.5077 [1 per cell]
3 Co 0.5000 0.5000 0.7631 [1 per cell]
4 Ni 0.5000 0.5000 0.2494 [1 per cell]

Results
Spin magnetization ... 0.00 μB/f.u.
Calculated total energy ... -4.867 eV per atom
ΔE_f ... -38 kJ per mole of atoms

10.
## NpAlCo (PBE-GGA)

Data for a geometry-optimized NpAlCo structure.

Cell: 2.8525 2.8525 11.5433 Å, 90.00 90.00 90.00°
Space group I4mm (No. 107)
One atom of each set of equivalent atoms:
1 Np 0.0000 0.0000 0.0000 [2 per cell]
2 Al 0.0000 0.0000 0.2887 [2 per cell]
3 Co 0.0000 0.0000 0.6668 [2 per cell]

Results
Spin magnetization ... 3.37 μB/f.u.
Calculated total energy ... -8.074 eV per atom
ΔE_f ... -14 kJ per mole of atoms

11.
## NpAl11Co (PBE-GGA)

Data for a geometry-optimized NpAl11Co structure.

Cell: 5.1338 12.5019 7.0692 Å, 90.00 109.61 90.00°
Space group C2/m (No. 12)
One atom of each set of equivalent atoms:
1 Np 0.0000 0.0000 0.0000 [2 per cell]
2 Al 0.0000 0.0000 0.5000 [2 per cell]
3 Al 0.1056 0.3942 0.2264 [8 per cell]
4 Al 0.1908 0.1718 0.3591 [8 per cell]
5 Al 0.2500 0.2500 0.0000 [4 per cell]
6 Co 0.0000 0.5000 0.5000 [2 per cell]

Results
Spin magnetization ... 4.31 μB/f.u.
Calculated total energy ... -4.843 eV per atom
ΔE_f ... -13 kJ per mole of atoms

12.
## NpAl3Co (PBE-GGA)

Data for a geometry-optimized NpAl3Co structure.

Cell: 7.9544 3.5996 11.1199 Å, 90.00 90.00 90.00°
Space group Pnma (No. 62)
One atom of each set of equivalent atoms:
1 Np 0.1055 0.2500 0.0017 [4 per cell]
2 Al 0.0622 0.2500 0.4228 [4 per cell]
3 Al 0.1003 0.7500 0.2312 [4 per cell]
4 Al 0.1513 0.7500 0.7781 [4 per cell]
5 Co 0.1362 0.2500 0.6339 [4 per cell]

Results
Spin magnetization ... 0.00 μB/f.u.
Calculated total energy ... -6.533 eV per atom
ΔE_f ... -27 kJ per mole of atoms